No. 1
! KTePd, relaxed, DFT PBE-GGA; values from VASP
! Space group: I4mm, No. 107
! Formation energy from raw total energies, meV/atom: -477
&SYSTEM
  ibrav = 0, nat = 3, ntyp = 3
/
ATOMIC_SPECIES
K 39.10 K.upf
Pd 106.42 Pd.upf
Te 127.60 Te.upf
CELL_PARAMETERS angstrom
-2.366 -2.472 -1.841
2.630 -0.409 -2.831
2.333 -3.115 5.284
ATOMIC_POSITIONS angstrom
K 0.030 -0.055 0.035
Pd 1.317 -2.434 1.575
Te 1.250 -3.507 -0.999


No. 2
! KTePd, relaxed, DFT PBE-GGA; values from VASP
! Space group: P-6m2, No. 187
! Formation energy from raw total energies, meV/atom: -646
&SYSTEM
  ibrav = 0, nat = 3, ntyp = 3
/
ATOMIC_SPECIES
K 39.10 K.upf
Pd 106.42 Pd.upf
Te 127.60 Te.upf
CELL_PARAMETERS angstrom
-3.530 3.466 1.560
0.948 -0.979 4.320
2.281 3.283 -2.132
ATOMIC_POSITIONS angstrom
K -0.517 4.173 1.059
Pd 0.804 1.019 2.430
Te -0.588 0.577 0.260


No. 3
! KTe6Pd12, relaxed, DFT PBE-GGA; values from VASP
! Space group: R-3m, No. 166
! Formation energy from raw total energies, meV/atom: -243
&SYSTEM
  ibrav = 0, nat = 19, ntyp = 3
/
ATOMIC_SPECIES
Pd 106.42 Pd.upf
Te 127.60 Te.upf
K 39.10 K.upf
CELL_PARAMETERS angstrom
7.531 0.511 0.720
-1.372 7.422 0.720
-1.372 -1.767 7.245
ATOMIC_POSITIONS angstrom
Pd 5.705 3.931 1.916
Pd 2.851 0.789 4.165
Pd -0.917 2.236 6.769
Pd 2.394 -0.334 6.769
Pd 2.851 3.672 2.118
Pd 0.058 2.957 4.165
Pd 2.394 6.501 1.916
Pd -0.917 5.654 4.342
Pd 1.937 5.378 4.520
Pd 4.730 3.209 4.520
Pd 5.705 0.513 4.342
Pd 1.937 2.495 6.567
Te 0.401 0.517 5.094
Te 0.401 4.639 2.167
Te 4.386 5.650 3.590
Te 4.395 1.539 2.167
Te 4.386 1.527 6.518
Te 0.392 4.628 6.518
K 0.000 0.000 0.000


No. 4
! K2TePd, relaxed, DFT PBE-GGA; values from VASP
! Space group: I-42d, No. 122
! Formation energy from raw total energies, meV/atom: -100
&SYSTEM
  ibrav = 0, nat = 8, ntyp = 3
/
ATOMIC_SPECIES
Pd 106.42 Pd.upf
Te 127.60 Te.upf
K 39.10 K.upf
CELL_PARAMETERS angstrom
-3.562 2.753 1.435
-2.461 -3.835 1.249
1.419 -0.088 11.467
ATOMIC_POSITIONS angstrom
Pd -2.027 -2.232 7.029
Pd -3.012 -0.541 1.342
Te 0.000 0.000 0.000
Te -2.577 1.062 7.122
K -4.151 -0.927 10.921
K -2.100 1.158 3.888
K -1.709 -2.013 3.859
K -1.250 -0.557 9.635


No. 5
! KTePd, relaxed, DFT PBE-GGA; values from VASP
! Space group: Fddd, No. 70
! Formation energy from raw total energies, meV/atom: -509
&SYSTEM
  ibrav = 0, nat = 12, ntyp = 3
/
ATOMIC_SPECIES
Te 127.60 Te.upf
K 39.10 K.upf
Pd 106.42 Pd.upf
CELL_PARAMETERS angstrom
-1.544 7.582 -3.038
-1.484 -6.759 -4.605
-3.810 -0.661 5.904
ATOMIC_POSITIONS angstrom
Te -1.534 5.242 -3.294
Te -3.414 -1.165 -1.005
Te -1.494 -4.420 -4.349
Te -3.394 -5.844 -1.517
K -4.379 1.708 0.802
K -3.607 -2.083 2.321
K -3.216 -1.341 -4.452
K -2.474 2.039 -2.150
Pd -2.056 -3.441 -1.788
Pd -4.752 -3.568 -0.734
Pd -5.490 0.225 -2.266
Pd -1.348 -0.063 0.527


No. 6
! K2Te2Pd, relaxed, DFT PBE-GGA; values from VASP
! Space group: Immm, No. 71
! Formation energy from raw total energies, meV/atom: -811
&SYSTEM
  ibrav = 0, nat = 5, ntyp = 3
/
ATOMIC_SPECIES
Te 127.60 Te.upf
Pd 106.42 Pd.upf
K 39.10 K.upf
CELL_PARAMETERS angstrom
-0.566 0.499 3.987
1.113 -6.069 2.983
6.190 0.014 2.943
ATOMIC_POSITIONS angstrom
Te 4.783 -1.083 4.945
Te 1.953 -4.474 4.967
Pd 0.000 0.000 0.000
K 4.679 -3.856 7.342
K 2.057 -1.700 2.570


No. 7
! KTe2Pd2, relaxed, DFT PBE-GGA; values from VASP
! Space group: I4/mmm, No. 139
! Formation energy from raw total energies, meV/atom: -520
! Energy above the lowest structure with this stoichiometry, meV/atom: 0
&SYSTEM
  ibrav = 0, nat = 5, ntyp = 3
/
ATOMIC_SPECIES
Te 127.60 Te.upf
Pd 106.42 Pd.upf
K 39.10 K.upf
CELL_PARAMETERS angstrom
4.564 0.000 0.000
0.000 4.564 0.000
2.282 2.282 6.336
ATOMIC_POSITIONS angstrom
Te 2.282 2.282 1.720
Te 4.564 4.564 4.616
Pd 2.282 4.564 3.168
Pd 4.564 2.282 3.168
K 0.000 0.000 0.000


No. 8
! KTe2Pd5, relaxed, DFT PBE-GGA; values from VASP
! Space group: Immm, No. 71
! Formation energy from raw total energies, meV/atom: -324
&SYSTEM
  ibrav = 0, nat = 8, ntyp = 3
/
ATOMIC_SPECIES
Pd 106.42 Pd.upf
K 39.10 K.upf
Te 127.60 Te.upf
CELL_PARAMETERS angstrom
4.360 0.000 0.000
2.180 6.403 0.008
2.180 1.934 6.104
ATOMIC_POSITIONS angstrom
Pd 4.360 2.124 3.278
Pd 4.360 6.213 2.834
Pd 4.360 4.572 5.073
Pd 4.360 3.765 1.039
Pd 2.180 4.169 3.056
K 0.000 0.000 0.000
Te 2.180 2.106 1.544
Te 6.541 6.231 4.568


No. 9
! KTePd, relaxed, DFT PBE-GGA; values from VASP
! Space group: P2_1/c, No. 14
! Formation energy from raw total energies, meV/atom: -661
&SYSTEM
  ibrav = 0, nat = 12, ntyp = 3
/
ATOMIC_SPECIES
K 39.10 K.upf
Pd 106.42 Pd.upf
Te 127.60 Te.upf
CELL_PARAMETERS angstrom
7.553 0.000 0.123
0.000 7.880 0.000
-2.543 0.000 6.337
ATOMIC_POSITIONS angstrom
K 2.394 6.935 1.261
K 0.111 2.995 1.969
K 2.616 0.946 5.199
K 4.900 4.886 4.491
Pd 4.723 4.708 0.676
Pd -0.325 7.112 3.783
Pd 0.287 3.172 5.784
Pd 5.336 0.768 2.677
Te 6.374 6.559 1.447
Te 1.326 5.261 4.554
Te -1.363 1.321 5.013
Te 3.685 2.619 1.906


No. 10
! KTe2Pd2, relaxed, DFT PBE-GGA; values from VASP
! Space group: P4/mbm, No. 127
! Formation energy from raw total energies, meV/atom: -281
! Energy above the lowest structure with this stoichiometry, meV/atom: 239
&SYSTEM
  ibrav = 0, nat = 10, ntyp = 3
/
ATOMIC_SPECIES
Pd 106.42 Pd.upf
Te 127.60 Te.upf
K 39.10 K.upf
CELL_PARAMETERS angstrom
8.547 0.000 0.000
0.000 8.547 0.000
0.000 0.000 3.193
ATOMIC_POSITIONS angstrom
Pd 5.602 7.219 1.597
Pd 1.328 5.602 1.597
Pd 7.219 2.946 1.597
Pd 2.946 1.328 1.597
Te 5.551 1.277 0.000
Te 2.996 7.270 0.000
Te 7.270 5.551 0.000
Te 1.277 2.996 0.000
K 0.000 0.000 0.000
K 4.274 4.274 0.000


No. 11
! KTePd3, relaxed, DFT PBE-GGA; values from VASP
! Space group: Pm-3m, No. 221
! Formation energy from raw total energies, meV/atom: 1133
! Energy above the lowest structure with this stoichiometry, meV/atom: 1223
&SYSTEM
  ibrav = 0, nat = 5, ntyp = 3
/
ATOMIC_SPECIES
Te 127.60 Te.upf
Pd 106.42 Pd.upf
K 39.10 K.upf
CELL_PARAMETERS angstrom
-2.283 -3.434 -2.805
1.362 -3.546 3.232
-4.219 0.714 2.561
ATOMIC_POSITIONS angstrom
Te -2.570 -3.133 1.494
Pd -2.110 0.357 1.280
Pd -1.141 -1.717 -1.403
Pd 0.681 -1.773 1.616
K 0.000 0.000 0.000


No. 12
! KTePd2, relaxed, DFT PBE-GGA; values from VASP
! Space group: P2_1/m, No. 11
! Formation energy from raw total energies, meV/atom: -481
&SYSTEM
  ibrav = 0, nat = 8, ntyp = 3
/
ATOMIC_SPECIES
Pd 106.42 Pd.upf
K 39.10 K.upf
Te 127.60 Te.upf
CELL_PARAMETERS angstrom
4.671 -0.911 0.000
-3.507 6.985 0.000
0.000 0.000 7.423
ATOMIC_POSITIONS angstrom
Pd 1.640 2.247 4.183
Pd 1.640 2.247 6.951
Pd -0.476 3.827 3.240
Pd -0.476 3.827 0.472
K 3.630 -0.011 1.856
K -2.466 6.086 5.567
Te 1.890 3.530 1.856
Te -0.727 2.544 5.567


Among the records above, which one has the lowest formation energy from raw total energies? K2Te2Pd


formation energy from raw total energies of number 9 (KTePd)? -661 meV/atom


Which formula does entry 6 have? K2Te2Pd